Here is crystalline ScTlIrW2 at its relaxed geometry from Alexandria via LeMat-Bulk. Energies are from PBE.

Results
M_tot = 0.01 Bohr magnetons per cell
crystal system = tetragonal
ΔE_f = 2.44 eV per atom

Cell lengths 4.9767, 4.9017, 4.9767 Å; angles 90.00, 90.00, 90.00 degrees
Last column: nearest neighbours and their distance in Å.
Atoms (fractional coordinates):
Sc (0.5000, 0.5000, 0.5000)  8 W 3.49, 4 Ir 3.52
Tl (0.0000, 0.0000, 0.0000)  2 Ir 2.45, 4 W 2.49
Ir (0.0000, 0.5000, 0.0000)  2 Tl 2.45
W (0.0000, 0.0000, 0.5000)  2 Tl 2.49
W (0.5000, 0.0000, 0.0000)  2 Tl 2.49